Record 1
Density functional theory data (PBE) for a relaxed structure of TbYGa2Ni2.

```
data_TbYGa2Ni2
_chemical_formula_sum 'Tb1 Y1 Ga2 Ni2'
_space_group_name_H-M_alt 'P -3 m 1'
_space_group_IT_number 164
_space_group_name_Hall '-P 3 2"'
_cell_length_a 4.2912
_cell_length_b 4.2912
_cell_length_c 7.0502
_cell_angle_alpha 90.00
_cell_angle_beta 90.00
_cell_angle_gamma 120.00
loop_
_atom_site_label
_atom_site_type_symbol
_atom_site_fract_x
_atom_site_fract_y
_atom_site_fract_z
Tb1 Tb 0.0000 0.0000 0.0000
Y1 Y 0.0000 0.0000 0.5000
Ga1 Ga 0.3333 0.6667 0.2506
Ni1 Ni 0.3333 0.6667 0.7505
```

Properties
The density of states at the Fermi level is 5.103 states/eV/f.u. The calculation puts the formation energy at -604 meV per atom. For the total energy, the calculation gives -32.33 eV per cell.

Record 2
Density functional theory data (PBE) for a relaxed structure of BaGaS.

```
data_BaGaS
_chemical_formula_sum 'Ba2 Ga2 S2'
_space_group_name_H-M_alt 'P 4/n m m'
_space_group_IT_number 129
_cell_length_a 4.4007
_cell_length_b 4.4007
_cell_length_c 9.5421
_cell_angle_alpha 90.00
_cell_angle_beta 90.00
_cell_angle_gamma 90.00
loop_
_space_group_symop_operation_xyz
'x,y,z'
'-x,-y,-z'
'-y+1/2,x,z'
'y+1/2,-x,-z'
'-x+1/2,-y+1/2,z'
'x+1/2,y+1/2,-z'
'y,-x+1/2,z'
'-y,x+1/2,-z'
'x+1/2,-y,-z'
'-x+1/2,y,z'
'-y,-x,-z'
'y,x,z'
'-x,y+1/2,-z'
'x,-y+1/2,z'
'y+1/2,x+1/2,-z'
'-y+1/2,-x+1/2,z'
loop_
_atom_site_label
_atom_site_type_symbol
_atom_site_fract_x
_atom_site_fract_y
_atom_site_fract_z
Ba1 Ba 0.2500 0.2500 0.1676
Ga1 Ga 0.2500 0.7500 0.5000
S1 S 0.2500 0.2500 0.8282
```

Properties
As for the formation energy without anion corrections: -1.05 eV per atom. The density of states at the Fermi level is 0.848 states/eV/f.u. For the total energy, the calculation gives -24.42 eV per cell.

Record 3
Density functional theory data (PBE) for a relaxed structure of AcDyTl.

```
data_AcDyTl
_chemical_formula_sum 'Ac2 Dy2 Tl2'
_space_group_name_H-M_alt 'I 4 m m'
_space_group_IT_number 107
_space_group_name_Hall 'I 4 -2'
_cell_length_a 3.8309
_cell_length_b 3.8309
_cell_length_c 13.8637
_cell_angle_alpha 90.00
_cell_angle_beta 90.00
_cell_angle_gamma 90.00
loop_
_atom_site_label
_atom_site_type_symbol
_atom_site_fract_x
_atom_site_fract_y
_atom_site_fract_z
Ac1 Ac 0.0000 0.0000 0.0000
Dy1 Dy 0.0000 0.0000 0.3054
Tl1 Tl 0.0000 0.0000 0.6744
```

Properties
The density of states at the Fermi level is 2.274 states/eV/f.u. The calculation puts the formation energy at -193 meV per atom. The energy above the most stable polymorph in this dataset comes out at 5.75 kJ/mol of atoms. For the total energy, the calculation gives -23.31 eV per cell.

Record 4
Density functional theory data (PBE) for a relaxed structure of CaV2Tc.

```
data_CaV2Tc
_chemical_formula_sum 'Ca4 V8 Tc4'
_space_group_name_H-M_alt 'I 41/a m d'
_space_group_IT_number 141
_cell_length_a 4.6061
_cell_length_b 4.6061
_cell_length_c 16.9477
_cell_angle_alpha 90.00
_cell_angle_beta 90.00
_cell_angle_gamma 90.00
loop_
_space_group_symop_operation_xyz
'x,y,z'
'-x,-y,-z'
'-y+1/4,x+3/4,z+1/4'
'y+1/4,-x+3/4,-z+1/4'
'-x+1/2,-y,z+1/2'
'x+1/2,y,-z+1/2'
'y+1/4,-x+1/4,z+3/4'
'-y+1/4,x+1/4,-z+3/4'
'x,-y,-z'
'-x,y,z'
'-y+1/4,-x+1/4,-z+3/4'
'y+1/4,x+1/4,z+3/4'
'-x+1/2,y,-z+1/2'
'x+1/2,-y,z+1/2'
'y+1/4,x+3/4,-z+1/4'
'-y+1/4,-x+3/4,z+1/4'
'x+1/2,y+1/2,z+1/2'
'-x+1/2,-y+1/2,-z+1/2'
'-y+3/4,x+1/4,z+3/4'
'y+3/4,-x+1/4,-z+3/4'
'-x,-y+1/2,z'
'x,y+1/2,-z'
'y+3/4,-x+3/4,z+1/4'
'-y+3/4,x+3/4,-z+1/4'
'x+1/2,-y+1/2,-z+1/2'
'-x+1/2,y+1/2,z+1/2'
'-y+3/4,-x+3/4,-z+1/4'
'y+3/4,x+3/4,z+1/4'
'-x,y+1/2,-z'
'x,-y+1/2,z'
'y+3/4,x+1/4,-z+3/4'
'-y+3/4,-x+1/4,z+3/4'
loop_
_atom_site_label
_atom_site_type_symbol
_atom_site_fract_x
_atom_site_fract_y
_atom_site_fract_z
Ca1 Ca 0.0000 0.2500 0.3750
V1 V 0.0000 0.0000 0.0000
Tc1 Tc 0.0000 0.2500 0.8750
```

Properties
The density of states at the Fermi level is 4.522 states/eV/f.u. The calculation puts the formation energy at 980 meV per atom. The energy above the most stable polymorph in this dataset comes out at 39.15 kJ/mol of atoms. For the total energy, the calculation gives -106.74 eV per cell.

Record 5
Density functional theory data (PBE) for a relaxed structure of Na3SF6.

```
data_Na3SF6
_chemical_formula_sum 'Na12 S4 F24'
_space_group_name_H-M_alt 'F m m m'
_space_group_IT_number 69
_space_group_name_Hall '-F 2 2'
_cell_length_a 7.2359
_cell_length_b 7.8686
_cell_length_c 10.7307
_cell_angle_alpha 90.00
_cell_angle_beta 90.00
_cell_angle_gamma 90.00
loop_
_atom_site_label
_atom_site_type_symbol
_atom_site_fract_x
_atom_site_fract_y
_atom_site_fract_z
Na1 Na 0.0000 0.0000 0.0000
Na2 Na 0.2500 0.2500 0.2500
S1 S 0.0000 0.0000 0.5000
F1 F 0.0000 0.2262 0.5000
F2 F 0.2404 0.0000 0.3742
```

Properties
As for the formation energy without anion corrections: -1.96 eV per atom. For the total energy, the calculation gives -155.50 eV per cell.

Record 6
Density functional theory data (PBE) for a relaxed structure of La2TmSn3Pt4.

```
data_La2TmSn3Pt4
_chemical_formula_sum 'La2 Tm1 Sn3 Pt4'
_space_group_name_H-M_alt 'P -4 m 2'
_space_group_IT_number 115
_space_group_name_Hall 'P -4 -2'
_cell_length_a 4.6515
_cell_length_b 4.6515
_cell_length_c 10.9685
_cell_angle_alpha 90.00
_cell_angle_beta 90.00
_cell_angle_gamma 90.00
loop_
_atom_site_label
_atom_site_type_symbol
_atom_site_fract_x
_atom_site_fract_y
_atom_site_fract_z
La1 La 0.0000 0.5000 0.2256
Tm1 Tm 0.0000 0.0000 0.5000
Sn1 Sn 0.0000 0.5000 0.8758
Sn2 Sn 0.5000 0.5000 0.5000
Pt1 Pt 0.0000 0.0000 0.0000
Pt2 Pt 0.0000 0.5000 0.6379
Pt3 Pt 0.5000 0.5000 0.0000
```

Properties
The density of states at the Fermi level is 6.976 states/eV/f.u. The calculation puts the formation energy at -974 meV per atom. For the total energy, the calculation gives -60.24 eV per cell.